# B3TeW

A relaxed structure of B3TeW (GGA-PBE, Alexandria via LeMat-Bulk).

Cell: 4.3046 4.3046 4.3046 Å, 90.00 90.00 90.00°
Atoms (fractional coordinates):
B 0.0000 0.0000 0.5000
B 0.0000 0.5000 0.0000
B 0.5000 0.0000 0.0000
Te 0.5000 0.5000 0.5000
W 0.0000 0.0000 0.0000

ΔE to the lowest computed polymorph = 0.0 kJ/mol of formula units
Spin magnetization = 0.000 μB per atom
ΔE_f (raw) = 1562 meV per atom
Space-group type = Pm-3m (221)